The following is a PBE with a Hubbard U calculation of RbVP2O6 after structural relaxation, from the Alexandria database.

Geometry as POSCAR:
```
RbVP2O6
1.0
2.6410 1.5248 6.7022
-2.6410 1.5248 6.7022
0.0000 -3.0495 6.7022
Rb V P O
1 1 2 6
Cartesian
0.0000 0.0000 0.0000
0.0000 0.0000 10.0533
0.0000 0.0000 4.8908
0.0000 0.0000 15.2158
-1.1730 -1.2118 8.8655
-1.6360 0.4100 11.2412
0.4630 -1.6218 11.2412
-0.4630 1.6218 8.8655
1.6360 -0.4100 8.8655
1.1730 1.2118 11.2412
```

* symmetry: No. 148
* total energy: -67.686 eV/cell
* magnetic moment: 4.00 μB/f.u.